Record 1
The following is a PBE calculation of PuPaB2 after structural relaxation, from Alexandria.

Unit cell a=4.193 b=4.193 c=4.773 alpha=63.95 beta=63.95 gamma=60.00
Last column: magnetic moment on the atom in μB.
Fractional positions:
Pa (0.000, 0.000, 0.000)  0.00
Pu (0.500, 0.500, 0.500)  4.63
B (0.248, 0.248, 0.256)  -0.09
B (0.752, 0.752, 0.744)  -0.09

Summary:
- ρ (kg/m³) = 13168
- total moment (μB/atom) = 1.12
- E_form (meV/atom) = 175

***

Record 2
The following is a PBE calculation of NbOsRu3 after structural relaxation, from Alexandria.

Unit cell a=4.586 b=4.586 c=4.586 alpha=90.00 beta=90.00 gamma=90.00
Fractional positions:
Ru (0.000, 0.000, 0.500)
Nb (0.000, 0.000, 0.000)
Os (0.500, 0.500, 0.500)
Ru (0.500, 0.000, 0.000)
Ru (0.000, 0.500, 0.000)

Summary:
- energy above the most stable polymorph in this dataset (eV per atom) = 2.1362
- ρ (kg/m³) = 10096
- total moment (μB/atom) = 0.00
- E_form (meV/atom) = 2122

***

Record 3
The following is a PBE calculation of Hg2BrF3 after structural relaxation, from Alexandria.

Unit cell a=4.220 b=6.933 c=9.552 alpha=116.34 beta=78.43 gamma=107.12
Fractional positions:
Hg (0.645, 0.015, 0.221)
F (0.688, 0.350, 0.480)
F (0.087, 0.021, 0.358)
F (0.312, 0.650, 0.520)
Hg (0.355, 0.985, 0.779)
F (0.913, 0.979, 0.642)
Br (0.153, 0.703, 0.894)
F (0.488, 0.709, 0.244)
Br (0.847, 0.297, 0.106)
F (0.512, 0.291, 0.756)
Hg (0.120, 0.335, 0.605)
Hg (0.880, 0.665, 0.395)

Summary:
- formation energy without anion corrections (eV per atom) = -1.174
- ρ (kg/m³) = 7492
- total moment (μB/atom) = 0.00

***

Record 4
The following is a PBE calculation of SmTh4Sb5 after structural relaxation, from Alexandria.

Unit cell a=4.502 b=4.502 c=16.211 alpha=97.98 beta=97.98 gamma=90.00
Fractional positions:
Th (0.400, 0.400, 0.801)
Th (0.800, 0.800, 0.600)
Sb (0.300, 0.300, 0.600)
Sb (0.500, 0.500, 0.000)
Sb (0.099, 0.099, 0.198)
Th (0.200, 0.200, 0.400)
Th (0.600, 0.600, 0.199)
Sb (0.901, 0.901, 0.802)
Sb (0.700, 0.700, 0.400)
Sm (0.000, 0.000, 0.000)

Summary:
- formation energy without anion corrections (eV per atom) = -0.965
- ρ (kg/m³) = 8696
- total moment (μB/atom) = 0.00

***

Record 5
The following is a PBE calculation of BaNaSe2N after structural relaxation, from Alexandria.

Unit cell a=5.407 b=5.407 c=4.691 alpha=90.00 beta=90.00 gamma=90.00
Last column: magnetic moment on the atom in μB.
Fractional positions:
Se (0.500, 0.000, 0.000)  0.32
Se (0.000, 0.500, 0.000)  0.32
N (0.000, 0.000, 0.500)  1.64
Ba (0.500, 0.500, 0.500)  0.00
Na (0.000, 0.000, 0.000)  0.01

Summary:
- formation energy without anion corrections (eV per atom) = 0.043
- energy above the most stable polymorph in this dataset (eV per atom) = 0.0000
- ρ (kg/m³) = 4023
- total moment (μB/atom) = 0.70

***

Record 6
The following is a PBE calculation of AcDyIrRh after structural relaxation, from Alexandria.

Unit cell a=5.055 b=5.055 c=5.055 alpha=60.00 beta=60.00 gamma=60.00
Fractional positions:
Rh (0.500, 0.500, 0.500)
Ac (0.250, 0.250, 0.250)
Ir (0.000, 0.000, 0.000)
Dy (0.750, 0.750, 0.750)

Summary:
- ρ (kg/m³) = 12445
- total moment (μB/atom) = 0.00
- E_form (meV/atom) = -610

***

Repeat the sixth record exactly.
The following is a PBE calculation of AcDyIrRh after structural relaxation, from Alexandria.

Unit cell a=5.055 b=5.055 c=5.055 alpha=60.00 beta=60.00 gamma=60.00
Fractional positions:
Rh (0.500, 0.500, 0.500)
Ac (0.250, 0.250, 0.250)
Ir (0.000, 0.000, 0.000)
Dy (0.750, 0.750, 0.750)

Summary:
- ρ (kg/m³) = 12445
- total moment (μB/atom) = 0.00
- E_form (meV/atom) = -610